Density functional theory data (PBE-GGA) for a relaxed structure of NaNb2MoS.

```
NaNb2MoS
1.0
4.716 0.000 0.000
0.000 4.716 0.000
0.000 0.000 4.564
Na Nb Mo S
1 2 1 1
Direct
0.000 0.000 0.000
0.000 0.500 0.000
0.500 0.000 0.000
0.000 0.000 0.500
0.500 0.500 0.500
```

## Properties
Total moment ... 0.00 μB per formula unit
Formation energy from raw total energies ... 2.39 eV/atom
V ... 101.5 Å³ per cell
Raw total energy ... -24.45 eV per cell

Density functional theory data (PBE-GGA) for a relaxed structure of NaNbTl2Mo.

```
NaNbTl2Mo
1.0
5.053 0.000 0.000
0.000 5.053 0.000
0.000 0.000 5.250
Na Nb Tl Mo
1 1 2 1
Direct
0.000 0.000 0.000
0.000 0.000 0.500
0.000 0.500 0.000
0.500 0.000 0.000
0.500 0.500 0.500
```

## Properties
Total moment ... 0.85 μB per formula unit
V ... 134.0 Å³ per cell
ΔH_f (0 K) ... 1867 meV per atom
Raw total energy ... -17.62 eV per cell